# VSb2IF PBE with a Hubbard U optimized geometry
# density of states at the Fermi level	5.0	states/eV per cell
# relative energy among the computed polymorphs	0.00	kcal/mol of atoms
# size of the total moment	0.0	μB per formula unit
data_VSb2IF
_chemical_formula_sum 'V1 Sb2 I1 F1'
_space_group_name_H-M_alt 'P 4/m m m'
_space_group_IT_number 123
_space_group_name_Hall '-P 4 2'
_cell_length_a 5.090
_cell_length_b 5.090
_cell_length_c 5.297
_cell_angle_alpha 90.00
_cell_angle_beta 90.00
_cell_angle_gamma 90.00
loop_
_atom_site_label
_atom_site_fract_x
_atom_site_fract_y
_atom_site_fract_z
V1 0.000 0.000 0.000
Sb1 0.000 0.500 0.000
I1 0.000 0.000 0.500
F1 0.500 0.500 0.500